Below is a relaxed InIrPb2 crystal, with properties calculated at the PBE-GGA level.

Unit cell a=3.239 b=4.565 c=13.669 alpha=90.00 beta=90.00 gamma=90.00
Space group Immm (No. 71)
One atom of each set of equivalent atoms:
In  0.000  0.000  0.000 (multiplicity 2)
Ir  0.000  0.000  0.500 (multiplicity 2)
Pb  0.000  0.500  0.181 (multiplicity 4)



Below is a relaxed PmGaCu2Ir crystal, with properties calculated at the PBE-GGA level.

Unit cell a=3.922 b=4.072 c=11.189 alpha=90.00 beta=90.00 gamma=90.00
Space group Imm2 (No. 44)
One atom of each set of equivalent atoms:
Pm  0.000  0.000  0.000 (multiplicity 2)
Ga  0.000  0.500  0.753 (multiplicity 2)
Cu  0.000  0.000  0.620 (multiplicity 2)
Cu  0.000  0.500  0.255 (multiplicity 2)
Ir  0.000  0.000  0.396 (multiplicity 2)



Below is a relaxed LiSnBiSb crystal, with properties calculated at the PBE-GGA level.

Unit cell a=7.539 b=7.539 c=7.539 alpha=90.00 beta=90.00 gamma=90.00
Space group F-43m (No. 216)
One atom of each set of equivalent atoms:
Li  0.000  0.000  0.000 (multiplicity 4)
Sn  0.000  0.000  0.500 (multiplicity 4)
Bi  0.250  0.250  0.250 (multiplicity 4)
Sb  0.250  0.250  0.750 (multiplicity 4)



Below is a relaxed Tb4AlS3 crystal, with properties calculated at the PBE-GGA level.

Unit cell a=8.185 b=11.413 c=3.924 alpha=90.00 beta=90.00 gamma=90.00
Space group Cmmm (No. 65)
One atom of each set of equivalent atoms:
Tb  0.000  0.248  0.000 (multiplicity 4)
Tb  0.239  0.000  0.500 (multiplicity 4)
Al  0.000  0.500  0.000 (multiplicity 2)
S  0.000  0.000  0.000 (multiplicity 2)
S  0.250  0.250  0.500 (multiplicity 4)



Below is a relaxed ZnHSN2 crystal, with properties calculated at the PBE-GGA level.

## Properties
* E above lowest polymorph: 5.34 kcal/mol of atoms

Unit cell a=3.847 b=3.847 c=5.374 alpha=90.00 beta=90.00 gamma=90.00
Space group P4/mmm (No. 123)
One atom of each set of equivalent atoms:
Zn  0.000  0.000  0.000 (multiplicity 1)
H  0.500  0.500  0.500 (multiplicity 1)
S  0.000  0.000  0.500 (multiplicity 1)
N  0.000  0.500  0.000 (multiplicity 2)



Below is a relaxed Pa2TeH2S crystal, with properties calculated at the PBE-GGA level.

Unit cell a=3.8489 b=3.8489 c=7.9733 alpha=90.00 beta=90.00 gamma=120.00
Space group P-3m1 (No. 164)
One atom of each set of equivalent atoms:
Pa  0.3333  0.6667  0.2956 (multiplicity 2)
Te  0.0000  0.0000  0.0000 (multiplicity 1)
H  0.3333  0.6667  0.7461 (multiplicity 2)
S  0.0000  0.0000  0.5000 (multiplicity 1)



Below is a relaxed KIn5Hg3 crystal, with properties calculated at the PBE-GGA level.

Unit cell a=4.772 b=15.109 c=15.111 alpha=90.00 beta=90.00 gamma=90.00
Space group Cmcm (No. 63)
One atom of each set of equivalent atoms:
K  0.000  0.134  0.250 (multiplicity 4)
In  0.000  0.000  0.000 (multiplicity 4)
In  0.000  0.198  0.553 (multiplicity 8)
In  0.000  0.420  0.146 (multiplicity 8)
Hg  0.000  0.178  0.750 (multiplicity 4)
Hg  0.000  0.392  0.582 (multiplicity 8)



Below is a relaxed PuBeInO6 crystal, with properties calculated at the PBE-GGA level.

Unit cell a=5.0416 b=5.0416 c=9.4631 alpha=90.00 beta=90.00 gamma=120.00
Space group P-31c (No. 163)
One atom of each set of equivalent atoms:
Pu  0.3333  0.6667  0.2500 (multiplicity 2)
Be  0.3333  0.6667  0.7500 (multiplicity 2)
In  0.0000  0.0000  0.0000 (multiplicity 2)
O  0.0191  0.3622  0.6376 (multiplicity 12)



| no. | electronic total energy (eV per cell) | M_tot (μB per atom) |
| --- | --- | --- |
| 1 | -37.44 | 0.000 |
| 2 | -53.25 | 0.000 |
| 3 | -55.89 | 0.000 |
| 4 | -93.89 | 0.000 |
| 5 | -14.91 | 0.862 |
| 6 | -38.67 | 0.000 |
| 7 | -64.90 | 0.000 |
| 8 | -136.45 | 0.111 |